{"formula": "Al2PdPt2", "functional": "PBE", "state": "optimized geometry", "dft_energy_ev_per_atom": -5.804, "magmom_total_mub_per_cell": 0.00, "n_ef_per_ev_cell": 2.60, "formation_energy_ev_per_fu": -4.26, "lattice_angstrom": [[4.204, 0.000, 0.000], [-2.102, 3.641, 0.000], [0.000, 0.000, 5.193]], "species": ["Pd", "Pt", "Pt", "Al", "Al"], "fractional_positions": [[0.000, 0.000, 0.000], [0.333, 0.667, 0.673], [0.667, 0.333, 0.327], [0.333, 0.667, 0.185], [0.667, 0.333, 0.815]]}